No. 1
First-principles (PBE-GGA) data for a geometry-optimized RbDy2P2N6 structure, as listed in Alexandria via LeMat-Bulk.

a b c (Å): 11.334 6.282 6.385
angles (deg): 90.00 120.38 90.00
Space group C2/m (No. 12)
Asymmetric unit:
1 Rb 0.000 0.000 0.000 x2
2 Dy 0.177 0.500 0.303 x4
3 P 0.153 0.500 0.743 x4
4 N 0.065 0.500 0.870 x4
5 N 0.198 0.291 0.663 x8

Computed properties:
For the total energy, the calculation gives -7.185 eV/atom. Its formation energy from raw total energies is -0.74 eV per atom. The calculation puts the size of the total moment at 0.549 μB per formula unit.

---

No. 2
First-principles (PBE-GGA) data for a geometry-optimized LiEuSbRh structure, as listed in Alexandria via LeMat-Bulk.

a b c (Å): 6.803 6.803 6.803
angles (deg): 90.00 90.00 90.00
Space group F-43m (No. 216)
Asymmetric unit:
1 Li 0.000 0.000 0.000 x4
2 Eu 0.250 0.250 0.750 x4
3 Sb 0.250 0.250 0.250 x4
4 Rh 0.000 0.000 0.500 x4

Computed properties:
For the total energy, the calculation gives -6.511 eV/atom. Its formation energy from raw total energies is -0.60 eV per atom. The calculation puts the size of the total moment at 6.702 μB per formula unit.